Entry from Alexandria: a relaxed Ac3LaAg2 crystal (PBE).

Unit cell a=3.958 b=3.958 c=13.287 alpha=90.00 beta=90.00 gamma=90.00
Space group P4/mmm (No. 123)
Symmetry-distinct sites (fractional):
Ac1 0.000 0.000 0.000 x1
Ac2 0.000 0.000 0.296 x2
La1 0.500 0.500 0.500 x1
Ag1 0.500 0.500 0.151 x2

Computed properties:
ΔH_f (0 K) = -0.9 eV per formula unit